First-principles (GGA-PBE) data for a geometry-optimized La2YCo2 structure, as listed in Alexandria.

abc: 8.2739 8.2739 3.2538
angles: 90.00 90.00 90.00
Fractional positions:
Y 0.0000 0.0000 0.0000
Y 0.5000 0.5000 0.0000
Co 0.1776 0.6776 0.5000
Co 0.6776 0.8224 0.5000
Co 0.8224 0.3224 0.5000
Co 0.3224 0.1776 0.5000
La 0.3616 0.8616 0.0000
La 0.8616 0.6384 0.0000
La 0.6384 0.1384 0.0000
La 0.1384 0.3616 0.0000

Excess energy over the best structure of this formula in the dataset: 0.265 eV/atom
Formation energy: 0.159 eV/atom
Crystal system: tetragonal
Calculated density: 7.23 Mg/m³